Entry from Alexandria: an optimized crystal structure of LiMg2CdIn5 (PBE-GGA).

Its total energy is -2.257 eV/atom. For the density of states at the Fermi level, the calculation gives 0.437 states/eV per atom. Its energy of formation is -58 kJ/mol of formula units.

Structure (POSCAR):
```
LiMg2CdIn5
1.0
3.233 0.000 0.000
-1.616 8.210 0.000
0.000 0.000 16.316
Li Mg Cd In
2 4 2 10
Direct
0.822 0.644 0.550 Li
0.178 0.356 0.050 Li
0.938 0.877 0.856 Mg
0.193 0.385 0.650 Mg
0.062 0.123 0.356 Mg
0.807 0.615 0.150 Mg
0.585 0.170 0.930 Cd
0.415 0.830 0.430 Cd
0.342 0.685 0.988 In
0.745 0.490 0.834 In
0.562 0.124 0.743 In
0.370 0.741 0.701 In
0.002 0.005 0.572 In
0.658 0.315 0.488 In
0.255 0.510 0.334 In
0.438 0.876 0.243 In
0.630 0.259 0.201 In
0.998 0.995 0.072 In
```